(1)
ScNb2Sn2: optimized geometry, PBE-GGA.

CIF file:
```
data_ScNb2Sn2
_chemical_formula_sum 'Sc1 Nb2 Sn2'
_symmetry_space_group_name_H-M 'P 1'
_symmetry_Int_Tables_number 1
_cell_length_a 7.2759
_cell_length_b 7.2759
_cell_length_c 7.2759
_cell_angle_alpha 147.65
_cell_angle_beta 147.65
_cell_angle_gamma 46.40
loop_
_symmetry_equiv_pos_as_xyz
'x,y,z'
loop_
_atom_site_label
_atom_site_type_symbol
_atom_site_fract_x
_atom_site_fract_y
_atom_site_fract_z
Nb1 Nb 0.7500 0.2500 0.5000
Nb2 Nb 0.2500 0.7500 0.5000
Sn1 Sn 0.3986 0.3986 0.0000
Sn2 Sn 0.6014 0.6014 0.0000
Sc1 Sc 0.0000 0.0000 0.0000
```

Total DFT energy (no corrections) (eV for the cell shown): -35.24
Relative energy among the computed polymorphs (eV per formula unit): 0.000

=====

(2)
Ho5Pb4: optimized geometry, PBE-GGA.

CIF file:
```
data_Ho5Pb4
_chemical_formula_sum 'Ho20 Pb16'
_symmetry_space_group_name_H-M 'P 1'
_symmetry_Int_Tables_number 1
_cell_length_a 8.1565
_cell_length_b 15.5149
_cell_length_c 8.2098
_cell_angle_alpha 90.00
_cell_angle_beta 90.00
_cell_angle_gamma 90.00
loop_
_symmetry_equiv_pos_as_xyz
'x,y,z'
loop_
_atom_site_label
_atom_site_type_symbol
_atom_site_fract_x
_atom_site_fract_y
_atom_site_fract_z
Pb1 Pb 0.6524 0.7500 0.8469
Pb2 Pb 0.2820 0.5429 0.0341
Pb3 Pb 0.7820 0.5429 0.4659
Pb4 Pb 0.7820 0.9571 0.4659
Pb5 Pb 0.1524 0.7500 0.6531
Pb6 Pb 0.2180 0.4571 0.5341
Pb7 Pb 0.7180 0.0429 0.9659
Pb8 Pb 0.8476 0.2500 0.3469
Pb9 Pb 0.5709 0.2500 0.6241
Pb10 Pb 0.0709 0.2500 0.8759
Pb11 Pb 0.2820 0.9571 0.0341
Pb12 Pb 0.4291 0.7500 0.3759
Pb13 Pb 0.9291 0.7500 0.1241
Pb14 Pb 0.3476 0.2500 0.1531
Pb15 Pb 0.7180 0.4571 0.9659
Pb16 Pb 0.2180 0.0429 0.5341
Ho1 Ho 0.7911 0.7500 0.4961
Ho2 Ho 0.0357 0.4007 0.1759
Ho3 Ho 0.1237 0.6209 0.3430
Ho4 Ho 0.2089 0.2500 0.5039
Ho5 Ho 0.1237 0.8791 0.3430
Ho6 Ho 0.0357 0.0993 0.1759
Ho7 Ho 0.6237 0.8791 0.1570
Ho8 Ho 0.6237 0.6209 0.1570
Ho9 Ho 0.2911 0.7500 0.0039
Ho10 Ho 0.8763 0.3791 0.6570
Ho11 Ho 0.4643 0.9007 0.6759
Ho12 Ho 0.4643 0.5993 0.6759
Ho13 Ho 0.3763 0.1209 0.8430
Ho14 Ho 0.8763 0.1209 0.6570
Ho15 Ho 0.5357 0.0993 0.3241
Ho16 Ho 0.9643 0.9007 0.8241
Ho17 Ho 0.9643 0.5993 0.8241
Ho18 Ho 0.5357 0.4007 0.3241
Ho19 Ho 0.7089 0.2500 0.9961
Ho20 Ho 0.3763 0.3791 0.8430
```

Total DFT energy (no corrections) (eV for the cell shown): -169.63

=====

Which value of total DFT energy (no corrections) does entry 1 give? -35.24 eV for the cell shown